# AcHo4Co3O12

AcHo4Co3O12 after structural relaxation (PBE+U, Alexandria).

Properties
Crystal system: cubic
Uncorrected energy (eV per atom): -7.30

Geometry as CIF:
```
data_AcHo4Co3O12
_chemical_formula_sum 'Ac2 Ho8 Co6 O24'
_space_group_name_H-M_alt 'I m -3'
_space_group_IT_number 204
_space_group_name_Hall '-I 2 2 3'
_cell_length_a 8.1042
_cell_length_b 8.1042
_cell_length_c 8.1042
_cell_angle_alpha 90.00
_cell_angle_beta 90.00
_cell_angle_gamma 90.00
loop_
_atom_site_label
_atom_site_fract_x
_atom_site_fract_y
_atom_site_fract_z
_atom_site_occupancy
Ac1 0.0000 0.0000 0.0000 1
Ho1 0.2500 0.2500 0.2500 1
Co1 0.0000 0.0000 0.5000 1
O1 0.0000 0.1528 0.3209 1
```